A relaxed structure of Mn3In2, computed with PBE.

E: -6.1398 eV/atom

Structure (extended XYZ):
```
5
Lattice="1.4915 0.8611 10.8127 -1.4915 0.8611 10.8127 0.0000 -1.7223 10.8127" Properties=species:S:1:pos:R:3 pbc="T T T"
Mn 0.0000 0.0000 0.0000
Mn 0.0000 0.0000 6.2500
Mn 0.0000 0.0000 26.1882
In 0.0000 0.0000 13.1178
In 0.0000 0.0000 19.3205
```


A relaxed structure of MnIn3, computed with PBE.

E: -4.0902 eV/atom

Structure (extended XYZ):
```
8
Lattice="4.9949 0.0000 0.0000 0.0000 6.1559 0.0000 0.0000 0.0000 5.9204" Properties=species:S:1:pos:R:3 pbc="T T T"
Mn 1.2487 1.5390 1.1248
Mn 3.7462 4.6170 4.7956
In 1.2487 0.0273 3.8851
In 1.2487 3.0507 3.8851
In 1.2487 4.6170 0.6875
In 3.7462 1.5390 5.2329
In 3.7462 3.1053 2.0353
In 3.7462 6.1286 2.0353
```


One value per record, in order, for energy of formation: 0.457; 0.256 eV per atom.
One value per record, in order, for magnetic moment: 7.34; 7.59 Bohr magnetons per cell.